No. 1
VASP calculation (PBE) on a relaxed structure of YHoN2.

Results
Symmetry = R3m, No. 160
Electronic total energy = -33.580 eV/f.u.

Lattice parameters (Å, degrees): 3.407 3.407 6.217 74.09 74.09 60.00
Positions (direct):
Ho: 0.669 0.669 0.994
Y: 0.498 0.498 0.506
N: 0.081 0.081 0.756
N: 0.252 0.252 0.243



No. 2
VASP calculation (PBE) on a relaxed structure of ReNiAu2.

Results
Relative energy among the computed polymorphs = 236 meV/atom
Energy of formation from the pure elements = 0.41 eV/atom
Symmetry = P4/mmm, No. 123

Lattice parameters (Å, degrees): 2.785 2.785 7.909 90.00 90.00 89.99
Positions (direct):
Au: 0.000 0.000 0.487
Au: 0.000 0.000 0.013
Ni: 0.500 0.500 0.250
Re: 0.500 0.500 0.750



No. 3
VASP calculation (PBE) on a relaxed structure of Re2SbSe.

Results
Relative energy among the computed polymorphs = 644 meV/atom
Symmetry = P2/m, No. 10

Lattice parameters (Å, degrees): 4.364 4.017 4.623 82.95 90.00 90.00
Positions (direct):
Re: 0.000 0.012 0.918
Re: 0.000 0.488 0.582
Sb: 0.500 0.250 0.250
Se: 0.500 0.750 0.750



No. 4
VASP calculation (PBE) on a relaxed structure of LaNdPt.

Results
Relative energy among the computed polymorphs = 0 meV/atom
Energy of formation from the pure elements = -0.80 eV/atom
Symmetry = P2_1/c, No. 14

Lattice parameters (Å, degrees): 7.450 6.830 7.289 96.27 90.00 90.00
Positions (direct):
Nd: 0.389 0.092 0.279
Nd: 0.611 0.908 0.721
Nd: 0.111 0.092 0.779
Nd: 0.889 0.908 0.221
Pt: 0.947 0.707 0.804
Pt: 0.053 0.293 0.196
Pt: 0.447 0.293 0.696
Pt: 0.553 0.707 0.304
La: 0.740 0.425 0.997
La: 0.760 0.425 0.497
La: 0.240 0.575 0.503
La: 0.260 0.575 0.003



No. 5
VASP calculation (PBE) on a relaxed structure of Ba4W.

Results
Relative energy among the computed polymorphs = 199 meV/atom
Energy of formation from the pure elements = 0.97 eV/atom
Symmetry = Im-3m, No. 229

Lattice parameters (Å, degrees): 6.899 6.899 6.899 109.47 109.47 109.47
Positions (direct):
Ba: 0.500 0.000 0.000
Ba: 0.000 0.500 0.000
Ba: 0.500 0.500 0.500
Ba: 0.000 0.000 0.500
W: 0.000 0.000 0.000



No. 6
VASP calculation (PBE) on a relaxed structure of Pm7CCl12.

Results
Symmetry = R-3, No. 148
Electronic total energy = -103.007 eV/f.u.

Lattice parameters (Å, degrees): 8.832 8.832 8.832 107.39 107.39 107.39
Positions (direct):
Pm: 0.500 0.500 0.500
Pm: 0.892 0.970 0.686
Pm: 0.970 0.686 0.892
Pm: 0.314 0.108 0.030
Pm: 0.108 0.030 0.314
Pm: 0.030 0.314 0.108
Pm: 0.686 0.892 0.970
C: 0.000 0.000 0.000
Cl: 0.922 0.312 0.776
Cl: 0.157 0.384 0.468
Cl: 0.468 0.157 0.384
Cl: 0.688 0.224 0.078
Cl: 0.776 0.922 0.312
Cl: 0.384 0.468 0.157
Cl: 0.532 0.843 0.616
Cl: 0.078 0.688 0.224
Cl: 0.616 0.532 0.843
Cl: 0.224 0.078 0.688
Cl: 0.843 0.616 0.532
Cl: 0.312 0.776 0.922



No. 7
VASP calculation (PBE) on a relaxed structure of Ba2NaVW.

Results
Energy of formation from the pure elements = 1.94 eV/atom
Symmetry = P4/mmm, No. 123

Lattice parameters (Å, degrees): 6.260 5.104 6.260 90.00 90.00 90.00
Positions (direct):
Ba: 0.500 0.000 0.000
Ba: 0.000 0.000 0.500
Na: 0.000 0.000 0.000
V: 0.000 0.500 0.000
W: 0.500 0.500 0.500



No. 8
VASP calculation (PBE) on a relaxed structure of NdThV.

Results
Energy of formation from the pure elements = 0.23 eV/atom
Symmetry = P4/nmm, No. 129

Lattice parameters (Å, degrees): 3.413 3.413 13.485 90.00 90.00 90.00
Positions (direct):
Th: 0.000 0.500 0.192
Th: 0.500 0.000 0.808
V: 0.500 0.000 0.042
V: 0.000 0.500 0.958
Nd: 0.500 0.000 0.395
Nd: 0.000 0.500 0.605



No. 9
VASP calculation (PBE) on a relaxed structure of Cu2SiNi.

Results
Symmetry = R-3m, No. 166
Electronic total energy = -19.224 eV/f.u.

Lattice parameters (Å, degrees): 8.195 8.195 8.195 18.38 18.38 18.38
Positions (direct):
Ni: 0.250 0.250 0.250
Cu: 0.500 0.500 0.500
Cu: 0.000 0.000 0.000
Si: 0.750 0.750 0.750



No. 10
VASP calculation (PBE) on a relaxed structure of PaNiRuPt.

Results
Energy of formation from the pure elements = -0.73 eV/atom
Symmetry = Pmmm, No. 47

Lattice parameters (Å, degrees): 3.963 3.909 4.232 90.00 90.00 90.00
Positions (direct):
Ni: 0.500 0.500 0.000
Ru: 0.000 0.500 0.500
Pt: 0.000 0.000 0.000
Pa: 0.500 0.000 0.500



No. 11
VASP calculation (PBE) on a relaxed structure of SrYPt4.

Results
Energy of formation from the pure elements = -0.95 eV/atom
Symmetry = F-43m, No. 216

Lattice parameters (Å, degrees): 5.505 5.505 5.505 60.00 60.00 60.00
Positions (direct):
Pt: 0.625 0.625 0.125
Pt: 0.125 0.625 0.625
Pt: 0.625 0.625 0.625
Pt: 0.625 0.125 0.625
Y: 0.000 0.000 0.000
Sr: 0.250 0.250 0.250



No. 12
VASP calculation (PBE) on a relaxed structure of ErCuPd6.

Results
Relative energy among the computed polymorphs = 0 meV/atom
Energy of formation from the pure elements = -0.45 eV/atom
Symmetry = P4/mmm, No. 123

Lattice parameters (Å, degrees): 4.016 4.016 7.974 90.00 90.00 90.00
Positions (direct):
Pd: 0.500 0.000 0.264
Pd: 0.500 0.500 0.000
Pd: 0.000 0.500 0.736
Pd: 0.000 0.500 0.264
Pd: 0.500 0.500 0.500
Pd: 0.500 0.000 0.736
Cu: 0.000 0.000 0.500
Er: 0.000 0.000 0.000